! TcI2F2 (PBE-GGA, relaxed); values from VASP
&SYSTEM
  ibrav = 0, nat = 10, ntyp = 3
/
ATOMIC_SPECIES
I 126.90 I.upf
F 19.00 F.upf
Tc 98.00 Tc.upf
CELL_PARAMETERS angstrom
6.408 0.000 3.475
2.877 5.956 2.340
0.356 -0.502 6.989
ATOMIC_POSITIONS angstrom
I 3.891 4.324 8.116
I 5.750 1.130 4.688
I 7.249 4.060 9.570
I 2.392 1.394 3.234
F 2.782 1.002 6.904
F 4.129 4.452 4.420
F 5.512 1.002 8.384
F 6.859 4.452 5.901
Tc 1.869 0.000 1.014
Tc 4.539 0.000 2.462
! Density of states at the Fermi level ... 0.2752 states/eV per atom
! Total moment ... 0.4000 μB per atom
! DFT total energy ... -4.4756 eV per atom
! Raw formation energy ... -1.0339 eV per atom
! Space group ... Immm